a.
Computed, not measured: a relaxed structure of Tb2Pm4Dy3 at the PBE-GGA level of DFT.

POSCAR file:
```
Tb2Pm4Dy3
1.0
-2.576 -0.073 2.578
5.446 -2.644 2.789
7.956 8.989 8.203
Tb Pm Dy
2 4 3
Cartesian
4.503 0.064 4.500
6.323 6.208 9.070
0.974 0.310 3.559
5.738 4.855 5.871
5.087 1.417 7.700
9.852 5.962 10.011
8.038 3.457 8.128
0.000 0.000 0.000
2.788 2.815 5.442
```

Results
- spin magnetization (μB per atom) = 0.00



b.
Computed, not measured: a relaxed structure of Tb2Pm4Dy3 at the PBE-GGA level of DFT.

POSCAR file:
```
Tb2Pm4Dy3
1.0
-0.078 -5.490 4.461
6.953 -9.862 -0.798
9.352 -3.868 6.619
Tb Pm Dy
4 8 6
Cartesian
5.958 -5.312 4.786
11.199 -8.938 6.021
10.269 -13.909 5.497
5.028 -10.282 4.262
7.548 -11.658 2.614
7.112 -8.830 0.471
8.678 -7.563 7.668
9.115 -10.390 9.812
5.623 -8.241 6.781
11.278 -11.940 7.941
10.603 -10.979 3.501
4.948 -7.281 2.342
2.696 -7.329 5.052
13.492 -14.635 7.464
13.531 -11.892 5.231
2.734 -4.585 2.819
8.132 -8.240 4.023
8.095 -10.981 6.259
```

Results
- spin magnetization (μB per atom) = 0.00



Stability ranking, top and bottom: b is the most stable and a is the least stable.



a.
Computed, not measured: a relaxed structure of Tb3PmDy4 at the PBE-GGA level of DFT.

POSCAR file:
```
Tb3PmDy4
1.0
-2.903 -0.742 -1.753
2.021 -6.367 -0.651
-4.708 0.941 10.836
Dy Tb Pm
4 3 1
Cartesian
-3.921 -1.633 3.747
-1.669 -4.536 4.684
-0.800 -2.210 2.260
-4.790 -3.958 6.171
1.011 -3.184 -0.326
0.232 -5.467 1.930
-5.822 -0.701 6.502
-1.451 -0.371 -0.877
```

Results
- spin magnetization (μB per atom) = 0.00



b.
Computed, not measured: a relaxed structure of Tb3PmDy4 at the PBE-GGA level of DFT.

POSCAR file:
```
Tb3PmDy4
1.0
6.293 0.000 0.000
0.000 7.279 0.000
0.000 0.000 11.334
Tb Pm Dy
6 2 8
Cartesian
4.075 4.558 0.000
6.173 4.557 2.832
3.026 2.722 2.835
0.928 2.721 5.667
3.026 2.722 8.498
6.173 4.557 8.502
0.932 2.724 0.000
4.078 4.555 5.667
0.929 6.379 0.000
4.083 0.906 0.000
6.173 0.901 2.847
3.026 6.379 2.820
0.936 6.374 5.667
4.075 0.901 5.667
3.026 6.379 8.514
6.173 0.901 8.487
```

Results
- spin magnetization (μB per atom) = 0.00



Stability ranking, top and bottom: b is the most stable and a is the least stable.



a.
Computed, not measured: a relaxed structure of Tb6Pm8Dy at the PBE-GGA level of DFT.

POSCAR file:
```
Tb6Pm8Dy
1.0
9.146 0.000 0.000
4.573 7.921 0.000
4.573 2.640 6.955
Tb Pm Dy
6 8 1
Cartesian
12.365 9.466 6.128
2.558 2.239 0.827
5.233 4.586 0.827
13.059 5.976 6.128
15.735 8.322 6.128
5.928 1.096 0.827
6.233 3.763 4.032
9.004 1.999 2.923
6.376 7.045 2.923
9.146 5.281 1.859
9.146 5.281 5.096
11.917 3.516 4.032
9.289 8.562 4.032
12.060 6.798 2.923
0.000 0.000 0.000
```

Results
- spin magnetization (μB per atom) = 0.00



b.
Computed, not measured: a relaxed structure of Tb6Pm8Dy at the PBE-GGA level of DFT.

POSCAR file:
```
Tb6Pm8Dy
1.0
6.583 0.000 0.000
0.000 8.169 -4.716
0.000 0.000 9.433
Tb Pm Dy
6 8 1
Cartesian
4.337 5.349 -2.233
4.337 7.428 1.033
4.337 3.560 1.200
2.246 2.820 6.949
2.246 0.741 3.683
2.246 4.609 3.516
5.495 0.271 2.528
5.495 5.844 3.687
5.495 2.054 7.934
1.088 7.898 2.189
1.088 2.324 1.030
1.088 6.115 -3.218
5.805 2.723 4.716
0.778 5.446 0.000
3.292 0.000 0.000
```

Results
- spin magnetization (μB per atom) = 0.00



Stability ranking, top and bottom: a is the most stable and b is the least stable.



a.
Computed, not measured: a relaxed structure of Tb5PmDy3 at the PBE-GGA level of DFT.

POSCAR file:
```
Tb5PmDy3
1.0
-6.697 4.792 -4.349
-8.373 2.563 3.170
-4.243 11.784 2.548
Tb Pm Dy
10 2 6
Cartesian
-11.371 8.319 -1.820
-7.838 3.275 0.769
-9.795 5.452 -0.567
-8.496 8.343 0.580
-10.816 10.796 0.790
-9.518 13.687 1.937
-12.057 7.406 1.260
-7.232 4.080 -1.948
-7.942 10.820 3.190
-7.255 11.733 0.110
-17.154 16.830 1.166
-2.159 2.309 0.203
-13.404 13.203 0.926
-14.021 10.156 -0.115
0.000 0.000 0.000
-2.122 5.892 1.274
-5.908 5.936 0.443
-5.291 8.983 1.484
```

Results
- spin magnetization (μB per atom) = 0.00



b.
Computed, not measured: a relaxed structure of Tb5PmDy3 at the PBE-GGA level of DFT.

POSCAR file:
```
Tb5PmDy3
1.0
6.193 0.000 0.000
-3.097 8.550 -1.351
0.000 1.631 11.128
Tb Pm Dy
10 2 6
Cartesian
2.524 1.224 8.346
1.391 7.242 9.314
4.913 3.382 2.294
1.705 2.940 0.463
1.816 5.984 1.919
3.669 0.408 2.782
-1.391 6.426 3.750
4.488 3.756 6.027
1.281 4.198 7.858
-1.816 6.800 7.483
5.463 1.224 8.346
0.731 0.408 2.782
0.000 0.000 0.000
1.672 3.494 4.187
0.000 0.816 5.564
1.425 6.688 5.590
4.522 4.310 9.751
-1.425 5.872 0.026
```

Results
- spin magnetization (μB per atom) = 0.00



Stability ranking, top and bottom: b is the most stable and a is the least stable.



a.
Computed, not measured: a relaxed structure of Tb3Pm3Dy at the PBE-GGA level of DFT.

POSCAR file:
```
Tb3Pm3Dy
1.0
-3.973 -0.546 -4.142
-4.932 -6.172 5.545
-1.828 9.465 0.505
Tb Pm Dy
6 6 2
Cartesian
-4.698 2.484 2.173
-2.336 3.798 -0.267
-4.535 6.068 1.543
-6.035 0.262 -0.264
-8.397 -1.052 2.175
-6.199 -3.322 0.365
-8.199 2.545 1.510
-3.660 1.575 -2.716
-5.670 7.407 -1.557
-2.535 0.201 0.399
-7.074 1.171 4.625
-5.063 -4.661 3.465
-5.843 3.843 -0.921
-4.890 -1.097 2.829
```

Results
- spin magnetization (μB per atom) = 0.00



b.
Computed, not measured: a relaxed structure of Tb3Pm3Dy at the PBE-GGA level of DFT.

POSCAR file:
```
Tb3Pm3Dy
1.0
5.939 0.000 1.909
2.663 5.309 1.909
-1.458 -0.900 14.732
Tb Pm Dy
6 6 2
Cartesian
5.985 1.250 5.168
5.779 4.789 5.803
2.912 3.018 4.531
4.232 1.391 14.019
1.365 -0.380 12.746
1.159 3.159 13.382
2.923 4.255 7.853
3.147 0.705 7.221
6.013 2.497 8.497
1.131 1.912 10.052
3.997 3.704 11.329
4.221 0.154 10.697
4.277 2.639 17.277
2.867 1.770 1.273
```

Results
- spin magnetization (μB per atom) = 0.00



Stability ranking, top and bottom: a is the most stable and b is the least stable.



a.
Computed, not measured: a relaxed structure of Tb7PmDy12 at the PBE-GGA level of DFT.

POSCAR file:
```
Tb7PmDy12
1.0
8.580 0.750 1.126
-1.665 8.450 1.126
-1.665 -2.215 8.232
Tb Pm Dy
7 1 12
Cartesian
5.155 3.984 9.845
2.856 0.233 1.101
-0.570 -0.066 3.016
2.625 3.492 5.242
5.820 7.051 7.468
2.393 6.752 9.383
0.095 3.001 0.639
0.000 0.000 0.000
5.419 1.218 6.813
5.587 2.833 2.743
3.171 0.680 4.116
5.479 4.432 5.913
1.168 0.161 6.736
2.734 2.955 8.271
2.516 4.030 2.213
4.082 6.824 3.748
-0.229 2.553 4.571
2.079 6.305 6.368
-0.337 4.152 7.741
-0.170 5.767 3.671
```

Results
- spin magnetization (μB per atom) = 0.00



b.
Computed, not measured: a relaxed structure of Tb7PmDy12 at the PBE-GGA level of DFT.

POSCAR file:
```
Tb7PmDy12
1.0
-0.055 -3.109 -9.237
9.151 0.054 3.355
-5.430 -5.967 5.469
Tb Pm Dy
7 1 12
Cartesian
4.548 -1.527 -2.941
1.861 -2.956 4.412
-2.743 -4.538 -1.884
1.833 -4.511 -0.207
-2.715 -2.983 2.735
-0.028 -1.555 -4.619
4.575 0.027 1.677
0.000 0.000 0.000
2.760 -5.958 2.021
5.473 -1.470 3.885
0.906 -3.064 -2.435
-1.807 -7.552 -4.298
7.734 -3.773 -2.172
0.429 -6.760 -1.150
-4.069 -5.249 1.759
3.236 -2.262 0.737
4.107 -5.240 -1.694
-0.442 -3.781 1.281
2.267 -2.316 -6.058
1.398 -6.705 5.644
```

Results
- spin magnetization (μB per atom) = 0.00



Stability ranking, top and bottom: a is the most stable and b is the least stable.



a.
Computed, not measured: a relaxed structure of Tb8PmDy2 at the PBE-GGA level of DFT.

POSCAR file:
```
Tb8PmDy2
1.0
5.522 -0.564 -0.394
0.676 9.808 2.607
0.676 5.823 8.312
Tb Pm Dy
8 1 2
Cartesian
1.976 4.658 5.237
1.976 6.520 2.572
4.898 10.409 5.288
2.047 8.407 5.873
4.898 8.548 7.953
1.536 2.810 1.963
5.338 12.258 8.562
4.826 6.660 4.652
0.000 0.000 0.000
4.512 4.022 2.809
2.362 11.046 7.716
```

Results
- spin magnetization (μB per atom) = 0.00



b.
Computed, not measured: a relaxed structure of Tb8PmDy2 at the PBE-GGA level of DFT.

POSCAR file:
```
Tb8PmDy2
1.0
-2.496 -1.530 4.705
2.593 -7.645 -1.111
6.581 6.245 2.267
Tb Pm Dy
8 1 2
Cartesian
2.419 -5.704 2.694
5.328 -0.376 2.711
2.161 0.539 1.325
4.849 2.458 6.644
4.517 -3.469 4.536
1.349 -2.555 3.150
4.258 2.773 3.167
1.829 -5.389 -0.782
-1.248 -0.765 2.352
3.948 -3.158 1.070
2.730 0.228 4.792
```

Results
- spin magnetization (μB per atom) = 0.00



Stability ranking, top and bottom: b is the most stable and a is the least stable.



a.
Computed, not measured: a relaxed structure of Tb4Pm5Dy2 at the PBE-GGA level of DFT.

POSCAR file:
```
Tb4Pm5Dy2
1.0
3.523 0.000 0.000
0.000 9.171 0.000
-1.761 -4.586 11.733
Tb Pm Dy
4 5 2
Cartesian
0.000 2.836 0.000
1.761 4.586 2.272
0.000 6.336 0.000
0.000 0.000 9.461
1.761 -2.741 8.283
1.761 2.741 8.283
0.000 1.845 3.450
0.000 7.326 3.450
1.761 0.000 0.000
0.000 0.000 6.323
1.761 4.586 5.410
```

Results
- spin magnetization (μB per atom) = 0.00



b.
Computed, not measured: a relaxed structure of Tb4Pm5Dy2 at the PBE-GGA level of DFT.

POSCAR file:
```
Tb4Pm5Dy2
1.0
-0.706 2.342 2.577
3.978 -7.533 7.935
8.249 2.616 -2.567
Tb Pm Dy
4 5 2
Cartesian
6.488 1.180 0.705
9.920 -0.887 5.973
5.034 -3.755 7.240
1.601 -1.688 1.972
7.867 0.733 3.938
3.654 -3.308 4.007
8.446 -3.383 7.837
-0.353 1.171 1.289
3.075 0.809 0.107
4.461 0.142 3.542
7.060 -2.717 4.403
```

Results
- spin magnetization (μB per atom) = 0.00



Stability ranking, top and bottom: b is the most stable and a is the least stable.



a.
Computed, not measured: a relaxed structure of TbPm6Dy3 at the PBE-GGA level of DFT.

POSCAR file:
```
TbPm6Dy3
1.0
-2.117 -5.953 -0.549
7.391 -3.326 7.561
-10.119 3.314 3.080
Tb Pm Dy
2 12 6
Cartesian
-6.923 1.318 3.897
2.646 -5.688 6.341
-1.193 -0.576 7.274
-3.718 -2.996 6.624
-6.446 -0.800 6.676
-0.170 -6.557 8.278
5.925 -5.362 7.182
-6.596 -2.394 3.977
2.187 -2.347 6.228
-11.334 -2.195 2.762
-5.167 -0.794 1.686
1.109 -6.551 3.288
-0.274 -0.572 3.688
-2.799 -2.992 3.038
-1.232 -3.531 9.084
-6.311 -4.983 7.780
-3.549 0.272 4.761
-0.582 -4.230 5.516
-4.515 -4.975 0.773
0.564 -3.523 2.077
```

Results
- spin magnetization (μB per atom) = 0.00



b.
Computed, not measured: a relaxed structure of TbPm6Dy3 at the PBE-GGA level of DFT.

POSCAR file:
```
TbPm6Dy3
1.0
6.429 0.000 0.000
0.000 10.211 -5.791
0.000 -2.255 11.520
Tb Pm Dy
2 12 6
Cartesian
0.091 -0.277 8.773
3.306 8.233 -3.044
0.449 6.163 2.856
3.664 4.663 4.939
2.082 2.636 7.658
5.296 8.099 0.072
2.039 10.011 -5.514
5.124 1.494 6.314
1.909 6.462 -0.585
5.254 -2.055 11.243
2.082 -0.143 5.657
5.296 5.320 -1.929
0.449 3.293 0.790
3.664 1.793 2.873
3.148 8.189 2.591
6.362 5.054 6.945
0.580 2.980 4.250
3.795 4.975 1.479
6.362 -0.234 3.138
3.148 2.902 -1.217
```

Results
- spin magnetization (μB per atom) = 0.00



Stability ranking, top and bottom: b is the most stable and a is the least stable.